1.
This record from Alexandria describes a relaxed structure of KInF2. The functional is GGA-PBE.

The relative energy among the computed polymorphs comes out at 15 meV/atom. Its uncorrected formation energy is -2102 meV/atom.

It has space group I-42d (No. 122), with a = 6.036 Å, b = 6.036 Å, c = 11.669 Å, α = 90.00°, β = 90.00° and γ = 90.00°. Symmetry generates all atoms from K at (0.000, 0.000, 0.000), In at (0.000, 0.000, 0.500) and F at (0.246, 0.250, 0.625).

***

2.
This record from Alexandria describes a relaxed structure of Ba3Sr2Mg2In4. The functional is GGA-PBE.

The calculation puts the formation energy at -0.23 eV/atom.

It has space group P-3m1 (No. 164), with a = 5.5553 Å, b = 5.5553 Å, c = 15.8813 Å, α = 90.00°, β = 90.00° and γ = 120.00°. Symmetry generates all atoms from Ba at (0.0000, 0.0000, 0.0000), Ba at (0.0000, 0.0000, 0.2538), Sr at (0.3333, 0.6667, 0.5739), Mg at (0.3333, 0.6667, 0.1456), In at (0.3333, 0.6667, 0.3465) and In at (0.3333, 0.6667, 0.8671).

***

3.
This record from Alexandria describes a relaxed structure of HfZrIN2. The functional is GGA-PBE.

The relative energy among the computed polymorphs comes out at 269 meV/atom. Its uncorrected formation energy is 638 meV/atom.

It has space group P4/mmm (No. 123), with a = 4.243 Å, b = 4.243 Å, c = 5.587 Å, α = 90.00°, β = 90.00° and γ = 90.00°. Symmetry generates all atoms from Hf at (0.000, 0.000, 0.000), Zr at (0.500, 0.500, 0.500), I at (0.500, 0.500, 0.000) and N at (0.000, 0.500, 0.500).

***

What volume values result from the calculations? In sequence: 26.6, 38.6, 20.1 A^3/atom.
What total magnetization values result from the calculations? In sequence: 0.0, 1.0, 0.7 μB per formula unit.